The following is a DFT calculation (GGA-PBEsol) of crystalline LaZn2Ni at its relaxed geometry.

POSCAR file:
```
LaZn2Ni
1.0
4.253 0.000 0.000
-2.126 3.683 0.000
0.000 0.000 14.506
La Zn Ni
3 6 3
Direct
0.000 0.000 0.000
0.333 0.667 0.667
0.667 0.333 0.333
0.000 0.000 0.517
0.000 0.000 0.798
0.333 0.667 0.184
0.333 0.667 0.465
0.667 0.333 0.132
0.667 0.333 0.851
0.000 0.000 0.189
0.333 0.667 0.856
0.667 0.333 0.522
```

Total DFT energy (no corrections): -3.98 eV per atom
Energy of formation: -0.3127 eV per atom
Theoretical density: 7201 kg/m3

---

The following is a DFT calculation (GGA-PBEsol) of crystalline LaZnNi at its relaxed geometry.

POSCAR file:
```
LaZnNi
1.0
6.645 0.000 0.000
0.000 6.645 0.000
0.000 0.000 6.645
La Zn Ni
4 4 4
Direct
0.000 0.000 0.000
0.000 0.500 0.500
0.500 0.000 0.500
0.500 0.500 0.000
0.250 0.250 0.750
0.250 0.750 0.250
0.750 0.250 0.250
0.750 0.750 0.750
0.250 0.250 0.250
0.250 0.750 0.750
0.750 0.250 0.750
0.750 0.750 0.250
```

Total DFT energy (no corrections): -3.91 eV per atom
Energy of formation: 0.4514 eV per atom
ΔE to the lowest computed polymorph: 817.6 meV/atom
Theoretical density: 5954 kg/m3

---

The following is a DFT calculation (GGA-PBEsol) of crystalline LaZn2Ni at its relaxed geometry.

POSCAR file:
```
LaZn2Ni
1.0
7.161 0.000 0.000
0.000 4.126 0.000
-2.383 0.000 5.148
La Zn Ni
2 4 2
Direct
0.000 0.000 0.000
0.500 0.500 0.000
0.202 0.000 0.605
0.298 0.500 0.395
0.702 0.500 0.605
0.798 0.000 0.395
0.000 0.500 0.500
0.500 0.000 0.500
```

Total DFT energy (no corrections): -3.92 eV per atom
Energy of formation: -0.2580 eV per atom
Theoretical density: 7172 kg/m3